[1]
VASP calculation (GGA-PBE) on crystalline Ho3Ag at its relaxed geometry.

Calculated volume: 28.14 A^3/atom
ΔE to the lowest computed polymorph: 0.22 eV per formula unit
DOS(E_F): 7.5 states/eV/f.u.
VASP energy: -134.63 eV for the cell shown
Energy relative to the elements: -0.06 eV/atom

Unit cell a=12.137 b=12.137 c=6.113 alpha=90.00 beta=90.00 gamma=90.00
Space group I-4 (No. 82)
One atom of each set of equivalent atoms:
Ho 0.005 0.357 0.495 [8 per cell]
Ho 0.091 0.901 0.267 [8 per cell]
Ho 0.199 0.791 0.767 [8 per cell]
Ag 0.007 0.292 0.995 [8 per cell]

[2]
VASP calculation (GGA-PBE) on crystalline PmInS3 at its relaxed geometry.

Calculated volume: 28.60 A^3/atom
ΔE to the lowest computed polymorph: 0.00 eV per formula unit
Formation energy (no corrections): -122.7 kJ per mole of atoms
VASP energy: -52.46 eV for the cell shown

Unit cell a=7.026 b=4.143 c=10.057 alpha=90.00 beta=102.33 gamma=90.00
Space group P2_1/m (No. 11)
One atom of each set of equivalent atoms:
Pm 0.217 0.250 0.424 [2 per cell]
In 0.383 0.250 0.854 [2 per cell]
S 0.051 0.250 0.652 [2 per cell]
S 0.279 0.750 0.962 [2 per cell]
S 0.460 0.750 0.350 [2 per cell]

[3]
VASP calculation (GGA-PBE) on crystalline Na2GaBiS4 at its relaxed geometry.

Calculated volume: 27.01 A^3/atom
DOS(E_F): 0.0 states/eV/f.u.
Formation energy (no corrections): -74.5 kJ per mole of atoms
VASP energy: -64.47 eV for the cell shown

Unit cell a=9.144 b=7.762 c=6.089 alpha=90.00 beta=90.00 gamma=90.00
Space group Pmn2_1 (No. 31)
One atom of each set of equivalent atoms:
Na 0.249 0.168 0.000 [4 per cell]
Ga 0.000 0.662 0.046 [2 per cell]
Bi 0.000 0.324 0.516 [2 per cell]
S 0.000 0.372 0.944 [2 per cell]
S 0.000 0.644 0.429 [2 per cell]
S 0.211 0.808 0.967 [4 per cell]

[4]
VASP calculation (GGA-PBE) on crystalline KGa3Ge2 at its relaxed geometry.

Calculated volume: 22.94 A^3/atom
ΔE to the lowest computed polymorph: 0.00 eV per formula unit
DOS(E_F): 3.2 states/eV/f.u.
VASP energy: -19.09 eV for the cell shown
Energy relative to the elements: 0.05 eV/atom

Unit cell a=6.0833 b=6.0833 c=4.2940 alpha=90.00 beta=90.00 gamma=120.00
Space group P6/mmm (No. 191)
One atom of each set of equivalent atoms:
K 0.0000 0.0000 0.0000 [1 per cell]
Ga 0.0000 0.5000 0.5000 [3 per cell]
Ge 0.3333 0.6667 0.0000 [2 per cell]

[5]
VASP calculation (GGA-PBE) on crystalline LiCeZnRu at its relaxed geometry.

Calculated volume: 17.61 A^3/atom
DOS(E_F): 4.1 states/eV/f.u.
VASP energy: -75.66 eV for the cell shown
Energy relative to the elements: -0.13 eV/atom

Unit cell a=6.556 b=6.556 c=6.556 alpha=90.00 beta=90.00 gamma=90.00
Space group F-43m (No. 216)
One atom of each set of equivalent atoms:
Li 0.000 0.000 0.000 [4 per cell]
Ce 0.250 0.250 0.750 [4 per cell]
Zn 0.250 0.250 0.250 [4 per cell]
Ru 0.000 0.000 0.500 [4 per cell]

[6]
VASP calculation (GGA-PBE) on crystalline HoZr2Fe at its relaxed geometry.

Calculated volume: 22.98 A^3/atom
ΔE to the lowest computed polymorph: 1.06 eV per formula unit
DOS(E_F): 5.0 states/eV/f.u.
VASP energy: -86.67 eV for the cell shown
Energy relative to the elements: 0.31 eV/atom

Unit cell a=3.2719 b=3.2719 c=29.7488 alpha=90.00 beta=90.00 gamma=120.00
Space group R-3m (No. 166, hexagonal axes)
One atom of each set of equivalent atoms:
Ho 0.0000 0.0000 0.0000 [3 per cell]
Zr 0.0000 0.0000 0.1082 [6 per cell]
Fe 0.0000 0.0000 0.5000 [3 per cell]

[7]
VASP calculation (GGA-PBE) on crystalline B2C at its relaxed geometry.

Calculated volume: 7.02 A^3/atom
ΔE to the lowest computed polymorph: 0.90 eV per formula unit
DOS(E_F): 0.5 states/eV/f.u.
VASP energy: -84.49 eV for the cell shown
Energy relative to the elements: 0.49 eV/atom

Unit cell a=5.049 b=2.433 c=6.954 alpha=90.00 beta=99.68 gamma=90.00
Space group Pm (No. 6)
One atom of each set of equivalent atoms:
B 0.000 0.000 0.000 [1 per cell]
B 0.026 0.000 0.251 [1 per cell]
B 0.214 0.500 0.904 [1 per cell]
B 0.339 0.000 0.589 [1 per cell]
B 0.392 0.000 0.351 [1 per cell]
B 0.517 0.500 0.207 [1 per cell]
B 0.720 0.000 0.686 [1 per cell]
B 0.856 0.500 0.375 [1 per cell]
C 0.178 0.500 0.673 [1 per cell]
C 0.540 0.500 0.986 [1 per cell]
C 0.665 0.000 0.916 [1 per cell]
C 0.883 0.500 0.601 [1 per cell]

[8]
VASP calculation (GGA-PBE) on crystalline AlInAg2 at its relaxed geometry.

Calculated volume: 19.28 A^3/atom
DOS(E_F): 1.0 states/eV/f.u.
VASP energy: -23.96 eV for the cell shown
Energy relative to the elements: 0.05 eV/atom

Unit cell a=6.304 b=5.989 c=4.854 alpha=90.00 beta=122.70 gamma=90.00
Space group C2/m (No. 12)
One atom of each set of equivalent atoms:
Al 0.000 0.000 0.000 [2 per cell]
In 0.000 0.500 0.000 [2 per cell]
Ag 0.000 0.242 0.500 [4 per cell]

Question: What is the VASP energy in the eighth record?
Answer: -23.96 eV for the cell shown

Question: Which formula does entry 8 have?
Answer: AlInAg2

Question: VASP energy of number 1 (Ho3Ag)?
Answer: -134.63 eV for the cell shown

Copy entry 1 word for word.
VASP calculation (GGA-PBE) on crystalline Ho3Ag at its relaxed geometry.

Calculated volume: 28.14 A^3/atom
ΔE to the lowest computed polymorph: 0.22 eV per formula unit
DOS(E_F): 7.5 states/eV/f.u.
VASP energy: -134.63 eV for the cell shown
Energy relative to the elements: -0.06 eV/atom

Unit cell a=12.137 b=12.137 c=6.113 alpha=90.00 beta=90.00 gamma=90.00
Space group I-4 (No. 82)
One atom of each set of equivalent atoms:
Ho 0.005 0.357 0.495 [8 per cell]
Ho 0.091 0.901 0.267 [8 per cell]
Ho 0.199 0.791 0.767 [8 per cell]
Ag 0.007 0.292 0.995 [8 per cell]